# 1
# HoReSb (PBE-GGA, optimized geometry)
data_HoReSb
_chemical_formula_sum 'Ho4 Re4 Sb4'
_cell_length_a 6.6066
_cell_length_b 6.6066
_cell_length_c 6.6066
_cell_angle_alpha 90.00
_cell_angle_beta 90.00
_cell_angle_gamma 90.00
_symmetry_space_group_name_H-M 'F -4 3 m'
_symmetry_Int_Tables_number 216
_symmetry_space_group_name_Hall 'F -4 2 3'
loop_
_atom_site_label
_atom_site_fract_x
_atom_site_fract_y
_atom_site_fract_z
Ho1 0.0000 0.0000 0.0000
Re1 0.0000 0.0000 0.5000
Sb1 0.2500 0.2500 0.2500
# **DFT total energy**: -6.611 eV/atom

***

# 2
# SrZr4P6O24 (PBE-GGA, optimized geometry)
data_SrZr4P6O24
_chemical_formula_sum 'Sr3 Zr12 P18 O72'
_cell_length_a 8.6509
_cell_length_b 8.6509
_cell_length_c 23.3434
_cell_angle_alpha 90.00
_cell_angle_beta 90.00
_cell_angle_gamma 120.00
_symmetry_space_group_name_H-M 'R -3'
_symmetry_Int_Tables_number 148
_symmetry_space_group_name_Hall '-R 3'
loop_
_atom_site_label
_atom_site_fract_x
_atom_site_fract_y
_atom_site_fract_z
Sr1 0.0000 0.0000 0.0000
Zr1 0.0000 0.0000 0.1485
Zr2 0.0000 0.0000 0.3564
P1 0.0078 0.7162 0.7476
O1 0.0065 0.8071 0.8040
O2 0.0200 0.8279 0.0863
O3 0.0721 0.8483 0.6972
O4 0.0730 0.8473 0.4043
# **DFT total energy**: -8.120 eV/atom